[1]
Below is an optimized crystal structure of LiTa2Ni, with properties calculated at the GGA-PBE level.

Results
- energy above the lowest structure with this stoichiometry (meV/atom) = 422
- magnetization (μB/atom) = 0.00

abc: 7.0566 7.0566 5.2340
angles: 90.00 90.00 90.00
With the nearest neighbours (Å) after each atom.
Space group I-42d (No. 122)
Inequivalent atoms, fractional coordinates:
Li 0.0000 0.0000 0.0000 (multiplicity 4)  2 Ni 2.62, 4 Ta 2.75
Ta 0.2167 0.7500 0.6250 (multiplicity 8)  2 Ni 2.42, 2 Ta 2.66
Ni 0.0000 0.0000 0.5000 (multiplicity 4)  4 Ta 2.42, 2 Li 2.62

[2]
Below is an optimized crystal structure of Li2TaNi, with properties calculated at the GGA-PBE level.

Results
- energy above the lowest structure with this stoichiometry (meV/atom) = 233
- magnetization (μB/atom) = 0.00

abc: 2.6185 2.6185 8.5821
angles: 90.00 90.00 90.00
With the nearest neighbours (Å) after each atom.
Space group P4/mmm (No. 123)
Inequivalent atoms, fractional coordinates:
Li 0.0000 0.0000 0.2104 (multiplicity 2)  4 Ni 2.59, 4 Li 2.62
Ta 0.5000 0.5000 0.5000 (multiplicity 1)  4 Ta 2.62
Ni 0.5000 0.5000 0.0000 (multiplicity 1)  8 Li 2.59, 4 Ni 2.62

[3]
Below is an optimized crystal structure of LiTa2Ni, with properties calculated at the GGA-PBE level.

Results
- energy above the lowest structure with this stoichiometry (meV/atom) = 0
- magnetization (μB/atom) = 0.00

abc: 3.5743 4.2600 8.3230
angles: 90.00 90.00 90.00
With the nearest neighbours (Å) after each atom.
Space group Cmm2 (No. 35)
Inequivalent atoms, fractional coordinates:
Li 0.0000 0.0000 0.0000 (multiplicity 2)  4 Ni 2.50-2.75, 4 Li 2.78
Ta 0.0000 0.0000 0.4301 (multiplicity 2)  4 Ni 2.56-2.81, 4 Ta 2.78
Ta 0.0000 0.5000 0.7049 (multiplicity 2)  6 Ta 2.78-2.90, 2 Li 3.04
Ni 0.0000 0.5000 0.2098 (multiplicity 2)  4 Li 2.50-2.75, 2 Ta 2.56, 4 Ni 2.78

[4]
Below is an optimized crystal structure of LiTa2Ni, with properties calculated at the GGA-PBE level.

Results
- energy above the lowest structure with this stoichiometry (meV/atom) = 84
- magnetization (μB/atom) = 0.00

abc: 2.8518 4.6462 9.1033
angles: 90.00 90.00 90.00
With the nearest neighbours (Å) after each atom.
Space group Imm2 (No. 44)
Inequivalent atoms, fractional coordinates:
Li 0.0000 0.0000 0.0000 (multiplicity 2)  2 Ni 2.41
Ta 0.0000 0.0000 0.4516 (multiplicity 2)  2 Ni 2.60, 4 Li 2.76, 4 Ta 2.82-2.85
Ta 0.0000 0.5000 0.2184 (multiplicity 2)  4 Ni 2.73, 4 Ta 2.82-2.85, 2 Li 2.93
Ni 0.0000 0.5000 0.7133 (multiplicity 2)  2 Li 2.41, 2 Ta 2.60

[5]
Below is an optimized crystal structure of Li2TaNi, with properties calculated at the GGA-PBE level.

Results
- energy above the lowest structure with this stoichiometry (meV/atom) = 546
- magnetization (μB/atom) = 0.00

abc: 6.8783 6.8783 4.8797
angles: 90.00 90.00 90.00
With the nearest neighbours (Å) after each atom.
Space group I-42d (No. 122)
Inequivalent atoms, fractional coordinates:
Li 0.2082 0.2500 0.1250 (multiplicity 8)  2 Ni 2.32, 2 Li 2.51
Ta 0.0000 0.0000 0.5000 (multiplicity 4)  2 Ni 2.44, 4 Li 2.71
Ni 0.0000 0.0000 0.0000 (multiplicity 4)  4 Li 2.32, 2 Ta 2.44

[6]
Below is an optimized crystal structure of LiTa2Ni, with properties calculated at the GGA-PBE level.

Results
- energy above the lowest structure with this stoichiometry (meV/atom) = 54
- magnetization (μB/atom) = 0.00

abc: 2.9386 3.5004 5.8688
angles: 90.00 90.00 90.00
With the nearest neighbours (Å) after each atom.
Space group Pmm2 (No. 25)
Inequivalent atoms, fractional coordinates:
Li 0.0000 0.0000 0.0000 (multiplicity 1)  4 Ni 2.59, 5 Ta 2.63-2.75
Ta 0.0000 0.0000 0.4485 (multiplicity 1)  1 Li 2.63, 4 Ni 2.69, 6 Ta 2.86-2.94
Ta 0.5000 0.5000 0.7403 (multiplicity 1)  1 Ni 2.74, 4 Li 2.75, 6 Ta 2.86-2.94
Ni 0.5000 0.5000 0.2069 (multiplicity 1)  4 Li 2.59, 5 Ta 2.69-2.74

[7]
Below is an optimized crystal structure of Li2TaNi, with properties calculated at the GGA-PBE level.

Results
- energy above the lowest structure with this stoichiometry (meV/atom) = 130
- magnetization (μB/atom) = 0.00

abc: 2.9792 4.3322 9.1930
angles: 90.00 90.00 90.00
With the nearest neighbours (Å) after each atom.
Space group Cmmm (No. 65)
Inequivalent atoms, fractional coordinates:
Li 0.0000 0.0000 0.2169 (multiplicity 4)  2 Ni 2.49, 4 Li 2.63
Ta 0.0000 0.5000 0.5000 (multiplicity 2)  4 Ta 2.63
Ni 0.0000 0.5000 0.0000 (multiplicity 2)  4 Li 2.49, 4 Ni 2.63

[8]
Below is an optimized crystal structure of Li2TaNi, with properties calculated at the GGA-PBE level.

Results
- energy above the lowest structure with this stoichiometry (meV/atom) = 120
- magnetization (μB/atom) = 0.00

abc: 4.2294 4.2294 5.9550
angles: 90.00 90.00 90.00
With the nearest neighbours (Å) after each atom.
Space group I-4m2 (No. 119)
Inequivalent atoms, fractional coordinates:
Li 0.0000 0.0000 0.0000 (multiplicity 2)  4 Ta 2.59, 4 Li 2.59
Li 0.0000 0.5000 0.2500 (multiplicity 2)  4 Li 2.59, 4 Ni 2.59
Ta 0.0000 0.5000 0.7500 (multiplicity 2)  4 Li 2.59, 4 Ni 2.59
Ni 0.0000 0.0000 0.5000 (multiplicity 2)  4 Ta 2.59, 4 Li 2.59

[9]
Below is an optimized crystal structure of Li2TaNi, with properties calculated at the GGA-PBE level.

Results
- energy above the lowest structure with this stoichiometry (meV/atom) = 5
- magnetization (μB/atom) = 0.00

abc: 2.7781 2.9086 7.5686
angles: 90.00 90.00 90.00
With the nearest neighbours (Å) after each atom.
Space group Pmm2 (No. 25)
Inequivalent atoms, fractional coordinates:
Li 0.0000 0.0000 0.0000 (multiplicity 1)  8 Li 2.78-2.91, 4 Ta 3.08
Li 0.5000 0.5000 0.2728 (multiplicity 1)  4 Ni 2.53, 2 Li 2.78
Ta 0.5000 0.5000 0.6925 (multiplicity 1)  4 Ni 2.60, 4 Ta 2.78-2.91
Ni 0.0000 0.0000 0.4748 (multiplicity 1)  4 Li 2.53, 4 Ta 2.60, 2 Ni 2.78

[10]
Below is an optimized crystal structure of Li4TaNi, with properties calculated at the GGA-PBE level.

Results
- raw total energy (eV per atom) = -3.761
- magnetization (μB/atom) = 0.00

abc: 6.8112 6.8112 6.8112
angles: 90.00 90.00 90.00
With the nearest neighbours (Å) after each atom.
Space group F-43m (No. 216)
Inequivalent atoms, fractional coordinates:
Li 0.1231 0.1231 0.1231 (multiplicity 16)  6 Li 2.37-2.44
Ta 0.0000 0.0000 0.5000 (multiplicity 4)  12 Li 2.83, 4 Ni 2.95
Ni 0.2500 0.2500 0.7500 (multiplicity 4)  12 Li 2.82, 4 Ta 2.95

[11]
Below is an optimized crystal structure of Li2TaNi, with properties calculated at the GGA-PBE level.

Results
- energy above the lowest structure with this stoichiometry (meV/atom) = 197
- magnetization (μB/atom) = 0.00

abc: 2.6467 4.4160 4.9331
angles: 90.00 90.00 90.00
With the nearest neighbours (Å) after each atom.
Space group Pmmm (No. 47)
Inequivalent atoms, fractional coordinates:
Li 0.0000 0.0000 0.2302 (multiplicity 2)  1 Li 2.27
Ta 0.5000 0.5000 0.5000 (multiplicity 1)  2 Ni 2.47, 2 Ta 2.65
Ni 0.5000 0.5000 0.0000 (multiplicity 1)  2 Ta 2.47, 2 Ni 2.65

[12]
Below is an optimized crystal structure of LiTa2Ni, with properties calculated at the GGA-PBE level.

Results
- energy above the lowest structure with this stoichiometry (meV/atom) = 6
- magnetization (μB/atom) = 0.00

abc: 2.7949 2.7949 8.0715
angles: 90.00 90.00 90.00
With the nearest neighbours (Å) after each atom.
Space group P4mm (No. 99)
Inequivalent atoms, fractional coordinates:
Li 0.0000 0.0000 0.0000 (multiplicity 1)  4 Ni 2.58, 4 Li 2.79
Ta 0.0000 0.0000 0.4221 (multiplicity 1)  4 Ni 2.64, 4 Ta 2.79
Ta 0.5000 0.5000 0.7044 (multiplicity 1)  8 Ta 2.79-3.02, 4 Li 3.10
Ni 0.5000 0.5000 0.2050 (multiplicity 1)  4 Li 2.58, 4 Ta 2.64, 4 Ni 2.79

[13]
Below is an optimized crystal structure of Li2TaNi2, with properties calculated at the GGA-PBE level.

Results
- energy above the lowest structure with this stoichiometry (meV/atom) = 37
- magnetization (μB/atom) = 0.00

abc: 6.8670 6.8670 2.6422
angles: 90.00 90.00 90.00
With the nearest neighbours (Å) after each atom.
Space group P4/mbm (No. 127)
Inequivalent atoms, fractional coordinates:
Li 0.1085 0.3915 0.0000 (multiplicity 4)  1 Li 2.11, 2 Ni 2.33
Ta 0.0000 0.0000 0.0000 (multiplicity 2)  2 Ta 2.64, 4 Li 2.79, 8 Ni 2.82
Ni 0.1940 0.6940 0.5000 (multiplicity 4)  6 Li 2.33-2.53

[14]
Below is an optimized crystal structure of Li2TaNi, with properties calculated at the GGA-PBE level.

Results
- energy above the lowest structure with this stoichiometry (meV/atom) = 478
- magnetization (μB/atom) = 0.00

abc: 5.8996 5.8996 5.8996
angles: 90.00 90.00 90.00
With the nearest neighbours (Å) after each atom.
Space group Fm-3m (No. 225)
Inequivalent atoms, fractional coordinates:
Li 0.2500 0.2500 0.2500 (multiplicity 8)  4 Ta 2.55, 4 Ni 2.55
Ta 0.0000 0.0000 0.0000 (multiplicity 4)  8 Li 2.55
Ni 0.0000 0.0000 0.5000 (multiplicity 4)  8 Li 2.55